MoSeF2: relaxed, GGA+U.

Cell: 4.3807 4.3807 4.3807 Å, 60.00 60.00 60.00°
With the nearest neighbours (Å) after each atom.
Element x y z (fractional)
Mo 0.5000 0.5000 0.5000  8 F 2.68
Se 0.0000 0.0000 0.0000  8 F 2.68
F 0.2500 0.2500 0.2500  4 Mo 2.68, 4 Se 2.68
F 0.7500 0.7500 0.7500  4 Mo 2.68, 4 Se 2.68

Results
Calculated density ... 5.9 g/cm³
Space group ... Fm-3m (225)
Electronic total energy ... -4.0710 eV/atom